1.
Below is a relaxed CuBr2 crystal, with properties calculated at the PBE level.

a b c (Å): 6.8710 3.4855 7.3800
angles (deg): 90.00 116.39 90.00
Closest atoms and distances in Å follow each position.
Element x y z (fractional)
Cu 0.0000 0.0000 0.0000  4 Br 2.42
Cu 0.4994 0.5000 0.5000  4 Br 2.42
Br 0.2430 0.5000 0.9956  2 Cu 2.42
Br 0.2576 0.0000 0.5037  2 Cu 2.42
Br 0.7428 0.0000 0.4960  2 Cu 2.42
Br 0.7572 0.5000 0.0047  2 Cu 2.42

As for the crystal system: monoclinic. The raw total energy comes out at -15.80 eV per cell. As for the space-group type: Pm, No. 6.

---

2.
Below is a relaxed CuBr2 crystal, with properties calculated at the PBE level.

a b c (Å): 6.1676 6.1676 6.1676
angles (deg): 60.00 60.00 60.00
Closest atoms and distances in Å follow each position.
Element x y z (fractional)
Cu 0.1250 0.1250 0.1250  12 Br 3.62, 4 Cu 3.78
Cu 0.8750 0.8750 0.8750  12 Br 3.62, 4 Cu 3.78
Br 0.0000 0.5000 0.5000  6 Br 3.08
Br 0.5000 0.0000 0.5000  6 Br 3.08
Br 0.5000 0.5000 0.0000  6 Br 3.08
Br 0.5000 0.5000 0.5000  6 Br 3.08

As for the crystal system: cubic. The raw total energy comes out at -8.03 eV per cell. As for the space-group type: Fd-3m, No. 227.

---

Question: raw total energy of number 1 (CuBr2)?
Answer: -15.80 eV per cell